[1]
Entry from Alexandria: an optimized crystal structure of Pm6Pt3Au (GGA-PBE).

Lattice parameters (Å, degrees): 9.0741 9.0741 7.3483 90.00 90.00 104.47
With the nearest neighbours (Å) after each atom.
Fractional coordinates of all 20 atoms:
Pm  0.0099  0.9901  0.5000  2 Pt 2.94, 2 Au 2.96-3.04
Pm  0.1001  0.5521  0.5477  3 Pt 2.91-3.04, 1 Au 2.96
Pm  0.2340  0.7660  0.1383  1 Au 2.91, 3 Pt 2.93-2.96
Pm  0.3045  0.3587  0.0901  4 Pt 2.94-3.04
Pm  0.3587  0.3045  0.5901  4 Pt 2.94-3.04
Pm  0.4479  0.8999  0.5477  3 Pt 2.91-3.04, 1 Au 2.96
Pm  0.5521  0.1001  0.0477  3 Pt 2.91-3.04, 1 Au 2.96
Pm  0.6413  0.6955  0.0901  4 Pt 2.94-3.04
Pm  0.6955  0.6413  0.5901  4 Pt 2.94-3.04
Pm  0.7660  0.2340  0.6383  1 Au 2.91, 3 Pt 2.93-2.96
Pm  0.8999  0.4479  0.0477  3 Pt 2.91-3.04, 1 Au 2.96
Pm  0.9901  0.0099  0.0000  2 Pt 2.94, 2 Au 2.96-3.04
Pt  0.0746  0.2929  0.7885  6 Pm 2.91-3.04
Pt  0.2929  0.0746  0.2885  6 Pm 2.91-3.04
Pt  0.4015  0.5985  0.3746  7 Pm 2.95-3.04
Pt  0.5985  0.4015  0.8746  7 Pm 2.95-3.04
Pt  0.7071  0.9254  0.7885  6 Pm 2.91-3.04
Pt  0.9254  0.7071  0.2885  6 Pm 2.91-3.04
Au  0.1650  0.8350  0.7655  5 Pm 2.91-3.04
Au  0.8350  0.1650  0.2655  5 Pm 2.91-3.04

formation energy from the elements: -798 meV/atom
space group: Cmc2_1, No. 36
total DFT energy (no corrections): -115.77 eV per cell

=====

[2]
Entry from Alexandria: an optimized crystal structure of Pm2PtAu (GGA-PBE).

Lattice parameters (Å, degrees): 3.6297 3.6297 7.3178 90.00 90.00 90.00
With the nearest neighbours (Å) after each atom.
Fractional coordinates of all 4 atoms:
Pm  0.0000  0.0000  0.2400  4 Pt 3.11, 4 Au 3.19
Pm  0.0000  0.0000  0.7600  4 Pt 3.11, 4 Au 3.19
Pt  0.5000  0.5000  0.0000  8 Pm 3.11
Au  0.5000  0.5000  0.5000  8 Pm 3.19

ΔE to the lowest computed polymorph: 0.074 eV/atom
formation energy from the elements: -934 meV/atom
space group: P4/mmm, No. 123
total DFT energy (no corrections): -22.56 eV per cell

=====

[3]
Entry from Alexandria: an optimized crystal structure of PmPtAu (GGA-PBE).

Lattice parameters (Å, degrees): 5.5788 5.5788 7.3806 120.10 120.10 43.41
With the nearest neighbours (Å) after each atom.
Fractional coordinates of all 6 atoms:
Pm  0.0531  0.0531  0.3005  5 Pt 2.96-3.09, 4 Au 3.19-3.23
Pm  0.9469  0.9469  0.6995  5 Pt 2.96-3.09, 4 Au 3.19-3.23
Pt  0.3521  0.3521  0.3373  1 Pt 2.69, 3 Au 2.79-2.95, 1 Pm 2.96
Pt  0.6479  0.6479  0.6627  1 Pt 2.69, 3 Au 2.79-2.95, 1 Pm 2.96
Au  0.3380  0.3380  0.9275  3 Pt 2.79-2.95, 1 Au 2.92
Au  0.6620  0.6620  0.0725  3 Pt 2.79-2.95, 1 Au 2.92

ΔE to the lowest computed polymorph: 0.000 eV/atom
formation energy from the elements: -915 meV/atom
space group: C2/m, No. 12
total DFT energy (no corrections): -33.63 eV per cell

=====

[4]
Entry from Alexandria: an optimized crystal structure of Pm12Pt6Au (GGA-PBE).

Lattice parameters (Å, degrees): 8.5206 8.5206 8.5206 100.36 100.36 100.36
With the nearest neighbours (Å) after each atom.
Fractional coordinates of all 19 atoms:
Pm  0.0632  0.9281  0.6724  2 Pt 2.89, 1 Au 2.92
Pm  0.0719  0.3276  0.9368  2 Pt 2.89, 1 Au 2.92
Pm  0.1767  0.5790  0.4233  4 Pt 2.90-3.06
Pm  0.3276  0.9368  0.0719  2 Pt 2.89, 1 Au 2.92
Pm  0.4210  0.5767  0.8233  4 Pt 2.90-3.06
Pm  0.4233  0.1767  0.5790  4 Pt 2.90-3.06
Pm  0.5767  0.8233  0.4210  4 Pt 2.90-3.06
Pm  0.5790  0.4233  0.1767  4 Pt 2.90-3.06
Pm  0.6724  0.0632  0.9281  2 Pt 2.89, 1 Au 2.92
Pm  0.8233  0.4210  0.5767  4 Pt 2.90-3.06
Pm  0.9281  0.6724  0.0632  2 Pt 2.89, 1 Au 2.92
Pm  0.9368  0.0719  0.3276  2 Pt 2.89, 1 Au 2.92
Pt  0.1365  0.3070  0.6134  6 Pm 2.89-3.06
Pt  0.3070  0.6134  0.1365  6 Pm 2.89-3.06
Pt  0.3866  0.8635  0.6930  6 Pm 2.89-3.06
Pt  0.6134  0.1365  0.3070  6 Pm 2.89-3.06
Pt  0.6930  0.3866  0.8634  6 Pm 2.89-3.06
Pt  0.8634  0.6930  0.3866  6 Pm 2.89-3.06
Au  0.0000  0.0000  0.0000  6 Pm 2.92

formation energy from the elements: -761 meV/atom
space group: R-3, No. 148
total DFT energy (no corrections): -110.98 eV per cell

=====

[5]
Entry from Alexandria: an optimized crystal structure of PmPuPtAu (GGA-PBE).

Lattice parameters (Å, degrees): 5.1010 5.1010 5.1010 60.00 60.00 60.00
With the nearest neighbours (Å) after each atom.
Fractional coordinates of all 4 atoms:
Pm  0.0000  0.0000  0.0000  4 Pt 3.12, 4 Au 3.12
Pu  0.5000  0.5000  0.5000  4 Pt 3.12, 4 Au 3.12
Pt  0.7500  0.7500  0.7500  4 Pm 3.12, 4 Pu 3.12
Au  0.2500  0.2500  0.2500  4 Pm 3.12, 4 Pu 3.12

ΔE to the lowest computed polymorph: 0.061 eV/atom
formation energy from the elements: -721 meV/atom
space group: F-43m, No. 216
total DFT energy (no corrections): -31.28 eV per cell

=====

[6]
Entry from Alexandria: an optimized crystal structure of PmPuPtAu (GGA-PBE).

Lattice parameters (Å, degrees): 4.5078 5.8825 5.8825 38.79 90.00 90.00
With the nearest neighbours (Å) after each atom.
Fractional coordinates of all 4 atoms:
Pm  0.0000  0.0000  0.0000  3 Pt 2.96-3.25, 4 Au 3.05
Pu  0.5000  0.7233  0.7233  4 Pt 3.02, 3 Au 3.10-3.13
Pt  0.0000  0.2665  0.2665  3 Pm 2.96-3.25, 2 Au 2.99, 4 Pu 3.02
Au  0.5000  0.4440  0.4440  2 Pt 2.99, 4 Pm 3.05, 3 Pu 3.10-3.13

ΔE to the lowest computed polymorph: 0.000 eV/atom
formation energy from the elements: -782 meV/atom
space group: Amm2, No. 38
total DFT energy (no corrections): -31.53 eV per cell

=====

[7]
Entry from Alexandria: an optimized crystal structure of PmScPtAu (GGA-PBE).

Lattice parameters (Å, degrees): 4.9636 4.9636 4.9636 60.00 60.00 60.00
With the nearest neighbours (Å) after each atom.
Fractional coordinates of all 4 atoms:
Pm  0.0000  0.0000  0.0000  4 Pt 3.04, 4 Au 3.04
Sc  0.5000  0.5000  0.5000  4 Au 3.04, 4 Pt 3.04
Pt  0.2500  0.2500  0.2500  4 Sc 3.04, 4 Pm 3.04
Au  0.7500  0.7500  0.7500  4 Pm 3.04, 4 Sc 3.04

formation energy from the elements: -908 meV/atom
space group: F-43m, No. 216
total DFT energy (no corrections): -24.03 eV per cell

=====

[8]
Entry from Alexandria: an optimized crystal structure of Pm2Si3Pt4Au (GGA-PBE).

Lattice parameters (Å, degrees): 4.2848 4.2848 10.2257 90.00 90.00 90.00
With the nearest neighbours (Å) after each atom.
Fractional coordinates of all 10 atoms:
Pm  0.0000  0.5000  0.2459  8 Pt 3.18-3.37, 2 Au 3.30, 6 Si 3.30-3.32
Pm  0.5000  0.0000  0.7541  8 Pt 3.18-3.37, 2 Au 3.30, 6 Si 3.30-3.32
Si  0.0000  0.0000  0.0000  4 Pt 2.65
Si  0.0000  0.5000  0.6215  5 Pt 2.32-2.48
Si  0.5000  0.0000  0.3785  5 Pt 2.32-2.48
Pt  0.0000  0.0000  0.5000  4 Si 2.48
Pt  0.0000  0.5000  0.8482  1 Si 2.32
Pt  0.5000  0.0000  0.1518  1 Si 2.32
Pt  0.5000  0.5000  0.5000  4 Si 2.48
Au  0.5000  0.5000  0.0000  4 Pt 2.65

space group: P-4m2, No. 115
total DFT energy (no corrections): -62.71 eV per cell
raw formation energy: -9.5 eV/f.u.

=====

[9]
Entry from Alexandria: an optimized crystal structure of PmSi2Pt7Au (GGA-PBE).

Lattice parameters (Å, degrees): 14.9135 14.9135 14.9135 164.31 164.31 22.26
With the nearest neighbours (Å) after each atom.
Fractional coordinates of all 11 atoms:
Pm  0.0000  0.0000  0.0000  12 Pt 2.88-3.03
Si  0.3802  0.3802  0.0000  5 Pt 2.20-2.41
Si  0.6198  0.6198  0.0000  5 Pt 2.20-2.41
Pt  0.0760  0.5760  0.5000  2 Si 2.41
Pt  0.3050  0.3050  0.0000  1 Si 2.20
Pt  0.4240  0.9240  0.5000  2 Si 2.41
Pt  0.5000  0.5000  0.0000  4 Pm 2.88, 8 Pt 3.02-3.03
Pt  0.5766  0.0766  0.5000  2 Si 2.40
Pt  0.6950  0.6950  0.0000  1 Si 2.20
Pt  0.9234  0.4234  0.5000  2 Si 2.40
Au  0.7500  0.2500  0.5000  4 Pt 2.59

space group: I-4m2, No. 119
total DFT energy (no corrections): -64.17 eV per cell
raw formation energy: -3.0 eV/f.u.

=====

[10]
Entry from Alexandria: an optimized crystal structure of Pm3Si2Pt9Au (GGA-PBE).

Lattice parameters (Å, degrees): 5.6901 5.6901 11.1501 90.00 90.00 120.00
With the nearest neighbours (Å) after each atom.
Fractional coordinates of all 15 atoms:
Pm  0.0000  0.0000  0.0000  6 Pt 2.85
Pm  0.3333  0.6667  0.5923  6 Pt 3.07
Pm  0.6667  0.3333  0.4077  6 Pt 3.07
Si  0.3333  0.6667  0.1587  6 Pt 2.34-2.41
Si  0.6667  0.3333  0.8413  6 Pt 2.34-2.41
Pt  0.0000  0.5000  0.0000  2 Si 2.41
Pt  0.1622  0.3245  0.3037  1 Si 2.34
Pt  0.1622  0.8378  0.3037  1 Si 2.34
Pt  0.3245  0.1622  0.6963  1 Si 2.34
Pt  0.5000  0.0000  0.0000  2 Si 2.41
Pt  0.5000  0.5000  0.0000  2 Si 2.41
Pt  0.6755  0.8378  0.3037  1 Si 2.34
Pt  0.8378  0.1622  0.6963  1 Si 2.34
Pt  0.8378  0.6755  0.6963  1 Si 2.34
Au  0.0000  0.0000  0.5000  6 Pt 2.71

space group: P-3m1, No. 164
total DFT energy (no corrections): -94.29 eV per cell
raw formation energy: -11.5 eV/f.u.

=====

[11]
Entry from Alexandria: an optimized crystal structure of Pm2Si3Pt12Au (GGA-PBE).

Lattice parameters (Å, degrees): 7.6757 7.6757 7.6757 65.49 65.49 65.49
With the nearest neighbours (Å) after each atom.
Fractional coordinates of all 18 atoms:
Pm  0.1084  0.1084  0.1084  6 Pt 2.86-2.92
Pm  0.8916  0.8916  0.8916  6 Pt 2.86-2.92
Si  0.0000  0.5000  0.5000  6 Pt 2.32-2.38
Si  0.5000  0.0000  0.5000  6 Pt 2.32-2.38
Si  0.5000  0.5000  0.0000  6 Pt 2.32-2.38
Pt  0.1127  0.6368  0.6368  1 Si 2.32
Pt  0.1465  0.1465  0.6022  2 Si 2.38
Pt  0.1465  0.6022  0.1465  2 Si 2.38
Pt  0.3632  0.3632  0.8873  1 Si 2.32
Pt  0.3632  0.8873  0.3632  1 Si 2.32
Pt  0.3978  0.8535  0.8535  2 Si 2.38
Pt  0.6022  0.1465  0.1465  2 Si 2.38
Pt  0.6368  0.1127  0.6368  1 Si 2.32
Pt  0.6368  0.6368  0.1127  1 Si 2.32
Pt  0.8535  0.3978  0.8535  2 Si 2.38
Pt  0.8535  0.8535  0.3978  2 Si 2.38
Pt  0.8873  0.3632  0.3632  1 Si 2.32
Au  0.5000  0.5000  0.5000  6 Pt 2.60

space group: R-3m, No. 166
total DFT energy (no corrections): -109.04 eV per cell
raw formation energy: -7.5 eV/f.u.

=====

[12]
Entry from Alexandria: an optimized crystal structure of PmSi2Pt5Au (GGA-PBE).

Lattice parameters (Å, degrees): 4.0623 4.0623 10.9109 90.00 90.00 90.00
With the nearest neighbours (Å) after each atom.
Fractional coordinates of all 9 atoms:
Pm  0.0000  0.0000  0.0000  4 Pt 2.87
Si  0.5000  0.5000  0.2151  5 Pt 2.35
Si  0.5000  0.5000  0.7849  5 Pt 2.35
Pt  0.0000  0.5000  0.3231  2 Si 2.35
Pt  0.0000  0.5000  0.6769  2 Si 2.35
Pt  0.5000  0.0000  0.3231  2 Si 2.35
Pt  0.5000  0.0000  0.6769  2 Si 2.35
Pt  0.5000  0.5000  0.0000  2 Si 2.35
Au  0.0000  0.0000  0.5000  8 Pt 2.80

space group: P4/mmm, No. 123
total DFT energy (no corrections): -54.26 eV per cell
raw formation energy: -5.2 eV/f.u.